(1)
## K4SrY (GGA-PBEsol)

Data for an optimized crystal structure of K4SrY.

Cell and atoms, written as POSCAR:
```
K4SrY
1.0
7.641 0.000 0.000
3.821 6.618 0.000
3.821 2.206 6.239
K Sr Y
4 1 1
Cartesian
5.720 3.303 2.335 K
7.641 4.412 5.472 K
9.562 3.303 2.335 K
7.641 6.630 2.335 K
11.462 6.618 4.679 Sr
0.000 0.000 0.000 Y
```

Output
Formation enthalpy at 0 K in eV/atom: 0.45
DOS(E_F) in states/eV/f.u.: 9.31
Raw total energy in eV/atom: -1.746


(2)
## SiP (GGA-PBEsol)

Data for an optimized crystal structure of SiP.

Cell and atoms, written as POSCAR:
```
SiP
1.0
4.089 0.000 0.000
-2.045 3.541 0.000
0.000 0.000 4.878
P Si
2 2
Cartesian
2.045 1.180 0.314 P
0.000 2.361 2.753 P
2.045 1.180 2.753 Si
0.000 2.361 0.315 Si
```

Output
Formation energy from raw total energies in eV/f.u.: -0.01
DOS(E_F) in states/eV/f.u.: 0.50
Raw total energy in eV/atom: -5.776


(3)
## FeCoNi2 (GGA-PBEsol)

Data for an optimized crystal structure of FeCoNi2.

Cell and atoms, written as POSCAR:
```
FeCoNi2
1.0
-2.220 0.961 -0.355
-0.324 -2.641 3.306
1.213 3.570 2.093
Ni Co Fe
2 1 1
Cartesian
0.001 0.004 0.005 Ni
0.189 1.583 3.116 Ni
-0.495 2.294 0.892 Co
-1.530 0.276 1.900 Fe
```

Output
Formation enthalpy at 0 K in eV/atom: -0.01
DOS(E_F) in states/eV/f.u.: 3.44
Raw total energy in eV/atom: -7.266


(4)
## CsSeO2F (GGA-PBEsol)

Data for an optimized crystal structure of CsSeO2F.

Cell and atoms, written as POSCAR:
```
CsSeO2F
1.0
3.950 0.000 0.000
0.000 3.950 0.000
0.000 0.000 4.836
Cs O Se F
1 2 1 1
Cartesian
1.975 1.975 2.418 Cs
0.000 1.975 0.000 O
1.975 0.000 0.000 O
0.000 0.000 0.000 Se
0.000 0.000 2.418 F
```

Output
Formation energy from raw total energies in eV/f.u.: -5.83
DOS(E_F) in states/eV/f.u.: 0.62
Raw total energy in eV/atom: -4.610


(5)
## Cr2RuW (GGA-PBEsol)

Data for an optimized crystal structure of Cr2RuW.

Cell and atoms, written as POSCAR:
```
Cr2RuW
1.0
3.747 0.000 0.000
0.000 3.747 0.000
-1.874 -1.874 3.730
Cr Ru W
2 1 1
Cartesian
1.874 0.000 1.865 Cr
0.000 1.874 1.865 Cr
1.874 1.874 0.000 Ru
0.000 0.000 0.000 W
```

Output
Formation enthalpy at 0 K in eV/atom: 0.30
Distance to the lowest polymorph of the same formula in eV/f.u.: 0.455
DOS(E_F) in states/eV/f.u.: 5.07
Raw total energy in eV/atom: -10.815


(6)
## SrBeBr2 (GGA-PBEsol)

Data for an optimized crystal structure of SrBeBr2.

Cell and atoms, written as POSCAR:
```
SrBeBr2
1.0
-0.514 -2.624 -2.862
1.778 -3.378 2.778
-5.812 0.420 0.658
Sr Br Be
1 2 1
Cartesian
-2.512 -0.251 0.681 Sr
-3.679 -2.412 2.872 Br
-0.867 -3.060 0.282 Br
-4.431 -2.606 0.505 Be
```

Output
Formation energy from raw total energies in eV/f.u.: -3.36
Distance to the lowest polymorph of the same formula in eV/f.u.: 0.000
Raw total energy in eV/atom: -3.236


> raw total energy of number 2 (SiP)?

-5.776 eV/atom